Material: MgTi2CrMo
Method: DFT, PBE
State: relaxed

Cell lengths 4.580, 4.580, 5.018 Å; angles 90.00, 90.00, 90.00 degrees
Space group P4/mmm (No. 123)
Asymmetric unit:
Mg 0.000 0.000 0.000 (multiplicity 1)
Ti 0.000 0.500 0.500 (multiplicity 2)
Cr 0.500 0.500 0.000 (multiplicity 1)
Mo 0.000 0.000 0.500 (multiplicity 1)

Output
Volume   21.1 Å³/atom
Formation energy from the elements   1.35 eV per atom